# PmUPt2, optimized geometry, DFT GGA-PBE
# **ΔH_f (0 K)**: -0.754 eV/atom
# **Magnetization**: 2.466 μB per cell
# **E above lowest polymorph**: 34 meV per atom
data_PmUPt2
_space_group_name_H-M_alt 'P 4/m m m'
_space_group_IT_number 123
_space_group_name_Hall '-P 4 2'
_cell_length_a 3.481
_cell_length_b 3.481
_cell_length_c 7.340
_cell_angle_alpha 90.00
_cell_angle_beta 90.00
_cell_angle_gamma 90.00
loop_
_atom_site_label
_atom_site_fract_x
_atom_site_fract_y
_atom_site_fract_z
_atom_site_occupancy
Pm1 0.000 0.000 0.000 1
U1 0.000 0.000 0.500 1
Pt1 0.500 0.500 0.275 1